# SCAN AlPAu4, PBEsol geometry
data_AlPAu4
_chemical_formula_sum 'Al4 P4 Au16'
_cell_length_a 7.597
_cell_length_b 7.597
_cell_length_c 7.597
_cell_angle_alpha 90.00
_cell_angle_beta 90.00
_cell_angle_gamma 90.00
_space_group_name_H-M_alt 'F -4 3 m'
_space_group_IT_number 216
_space_group_name_Hall 'F -4 2 3'
loop_
_atom_site_label
_atom_site_type_symbol
_atom_site_fract_x
_atom_site_fract_y
_atom_site_fract_z
_atom_site_occupancy
Al1 Al 0.000 0.000 0.000 1
P1 P 0.250 0.250 0.750 1
Au1 Au 0.125 0.125 0.375 1
# Total DFT energy (no corrections) in eV for the cell shown: -1170.9
# Energy of formation from the pure elements in eV/atom: 0.344
# Crystal system: cubic

# SCAN K2ScAgI6, PBEsol geometry
data_K2ScAgI6
_chemical_formula_sum 'K8 Sc4 Ag4 I24'
_cell_length_a 11.548
_cell_length_b 11.548
_cell_length_c 11.548
_cell_angle_alpha 90.00
_cell_angle_beta 90.00
_cell_angle_gamma 90.00
_space_group_name_H-M_alt 'F m -3 m'
_space_group_IT_number 225
_space_group_name_Hall '-F 4 2 3'
loop_
_atom_site_label
_atom_site_type_symbol
_atom_site_fract_x
_atom_site_fract_y
_atom_site_fract_z
_atom_site_occupancy
K1 K 0.250 0.250 0.250 1
Sc1 Sc 0.000 0.000 0.000 1
Ag1 Ag 0.000 0.000 0.500 1
I1 I 0.000 0.000 0.247 1
# Total DFT energy (no corrections) in eV for the cell shown: -1177.9
# ΔE_f (raw) in meV per atom: -1178
# Crystal system: cubic

# SCAN TiTcSnN2, PBEsol geometry
data_TiTcSnN2
_chemical_formula_sum 'Ti1 Tc1 Sn1 N2'
_cell_length_a 3.860
_cell_length_b 3.860
_cell_length_c 5.124
_cell_angle_alpha 90.00
_cell_angle_beta 90.00
_cell_angle_gamma 90.00
_space_group_name_H-M_alt 'P 4/m m m'
_space_group_IT_number 123
_space_group_name_Hall '-P 4 2'
loop_
_atom_site_label
_atom_site_type_symbol
_atom_site_fract_x
_atom_site_fract_y
_atom_site_fract_z
_atom_site_occupancy
Ti1 Ti 0.000 0.000 0.000 1
Tc1 Tc 0.000 0.000 0.500 1
Sn1 Sn 0.500 0.500 0.000 1
N1 N 0.000 0.500 0.500 1
# Total DFT energy (no corrections) in eV for the cell shown: -102.9
# ΔE_f (raw) in meV per atom: 531
# Crystal system: tetragonal

# SCAN HoRe2SiC, PBEsol geometry
data_HoRe2SiC
_chemical_formula_sum 'Ho4 Re8 Si4 C4'
_cell_length_a 3.903
_cell_length_b 10.825
_cell_length_c 7.211
_cell_angle_alpha 90.00
_cell_angle_beta 90.00
_cell_angle_gamma 90.00
_space_group_name_H-M_alt 'C m c m'
_space_group_IT_number 63
_space_group_name_Hall '-C 2c 2'
loop_
_atom_site_label
_atom_site_type_symbol
_atom_site_fract_x
_atom_site_fract_y
_atom_site_fract_z
_atom_site_occupancy
Ho1 Ho 0.000 0.042 0.250 1
Re1 Re 0.000 0.326 0.062 1
Si1 Si 0.000 0.236 0.750 1
C1 C 0.000 0.500 0.000 1
# Total DFT energy (no corrections) in eV for the cell shown: -855.4
# ΔE_f (raw) in meV per atom: -511
# Crystal system: orthorhombic

# SCAN YInN2F, PBEsol geometry
data_YInN2F
_chemical_formula_sum 'Y1 In1 N2 F1'
_cell_length_a 4.433
_cell_length_b 4.433
_cell_length_c 4.175
_cell_angle_alpha 90.00
_cell_angle_beta 90.00
_cell_angle_gamma 90.00
_space_group_name_H-M_alt 'P 4/m m m'
_space_group_IT_number 123
_space_group_name_Hall '-P 4 2'
loop_
_atom_site_label
_atom_site_type_symbol
_atom_site_fract_x
_atom_site_fract_y
_atom_site_fract_z
_atom_site_occupancy
Y1 Y 0.000 0.000 0.000 1
In1 In 0.500 0.500 0.500 1
N1 N 0.000 0.500 0.000 1
F1 F 0.000 0.000 0.500 1
# Total DFT energy (no corrections) in eV for the cell shown: -85.8
# ΔE_f (raw) in meV per atom: -499
# Crystal system: tetragonal

# SCAN SrSnN2, PBEsol geometry
data_SrSnN2
_chemical_formula_sum 'Sr2 Sn2 N4'
_cell_length_a 3.970
_cell_length_b 3.970
_cell_length_c 8.381
_cell_angle_alpha 90.00
_cell_angle_beta 90.00
_cell_angle_gamma 90.00
_space_group_name_H-M_alt 'P 4/n m m'
_space_group_IT_number 129
loop_
_space_group_symop_operation_xyz
'x,y,z'
'-x,-y,-z'
'-y+1/2,x,z'
'y+1/2,-x,-z'
'-x+1/2,-y+1/2,z'
'x+1/2,y+1/2,-z'
'y,-x+1/2,z'
'-y,x+1/2,-z'
'x+1/2,-y,-z'
'-x+1/2,y,z'
'-y,-x,-z'
'y,x,z'
'-x,y+1/2,-z'
'x,-y+1/2,z'
'y+1/2,x+1/2,-z'
'-y+1/2,-x+1/2,z'
loop_
_atom_site_label
_atom_site_type_symbol
_atom_site_fract_x
_atom_site_fract_y
_atom_site_fract_z
_atom_site_occupancy
Sr1 Sr 0.250 0.250 0.139 1
Sn1 Sn 0.250 0.250 0.607 1
N1 N 0.250 0.250 0.849 1
N2 N 0.250 0.750 0.500 1
# Total DFT energy (no corrections) in eV for the cell shown: -156.6
# ΔE_f (raw) in meV per atom: -382
# Crystal system: tetragonal

# SCAN Ba2Al, PBEsol geometry
data_Ba2Al
_chemical_formula_sum 'Ba4 Al2'
_cell_length_a 4.170
_cell_length_b 4.170
_cell_length_c 14.429
_cell_angle_alpha 90.00
_cell_angle_beta 90.00
_cell_angle_gamma 90.00
_space_group_name_H-M_alt 'I 4/m m m'
_space_group_IT_number 139
_space_group_name_Hall '-I 4 2'
loop_
_atom_site_label
_atom_site_type_symbol
_atom_site_fract_x
_atom_site_fract_y
_atom_site_fract_z
_atom_site_occupancy
Ba1 Ba 0.000 0.000 0.129 1
Al1 Al 0.000 0.000 0.500 1
# Total DFT energy (no corrections) in eV for the cell shown: -174.2
# Energy of formation from the pure elements in eV/atom: -0.078
# Crystal system: tetragonal

# SCAN KI, PBEsol geometry
data_KI
_chemical_formula_sum 'K4 I4'
_cell_length_a 6.994
_cell_length_b 6.994
_cell_length_c 6.994
_cell_angle_alpha 90.00
_cell_angle_beta 90.00
_cell_angle_gamma 90.00
_space_group_name_H-M_alt 'F m -3 m'
_space_group_IT_number 225
_space_group_name_Hall '-F 4 2 3'
loop_
_atom_site_label
_atom_site_type_symbol
_atom_site_fract_x
_atom_site_fract_y
_atom_site_fract_z
_atom_site_occupancy
K1 K 0.000 0.000 0.000 1
I1 I 0.000 0.000 0.500 1
# Total DFT energy (no corrections) in eV for the cell shown: -193.5
# ΔE_f (raw) in meV per atom: -1652
# Crystal system: cubic